A plane-wave DFT calculation with GGA-PBEsol was carried out for crystalline BaLaAs at its relaxed geometry.

It has space group F-43m (No. 216), with a = 7.276 Å, b = 7.276 Å, c = 7.276 Å, α = 90.00°, β = 90.00° and γ = 90.00°. Symmetry generates all atoms from Ba at (0.000, 0.000, 0.000), La at (0.250, 0.250, 0.750) and As at (0.000, 0.000, 0.500).

The value obtained for the formation enthalpy at 0 K is -0.1548 eV/atom.


A plane-wave DFT calculation with GGA-PBEsol was carried out for crystalline FeCu2Se at its relaxed geometry.

It has space group F-43m (No. 216), with a = 5.889 Å, b = 5.889 Å, c = 5.889 Å, α = 90.00°, β = 90.00° and γ = 90.00°. Symmetry generates all atoms from Fe at (0.000, 0.000, 0.000), Cu at (0.000, 0.000, 0.500), Cu at (0.250, 0.250, 0.250) and Se at (0.250, 0.250, 0.750).

As for the total DFT energy (no corrections): -81.00 eV for the cell shown.


| no. | Fermi-level density of states (states/eV/cell) |
| --- | --- |
| 1 | 19.742 |
| 2 | 11.021 |